18
Lattice="5.143 0.000 0.000 -2.571 4.454 0.000 0.000 0.000 10.188" Properties=species:S:1:pos:R:3 comment="PmFeTeO6, relaxed, DFT GGA+U" total_energy_ev_per_cell=-117.9 pbc="T T T"
Pm 0.000 0.000 0.000
Pm 0.000 0.000 5.094
Fe 0.000 2.969 2.547
Fe 2.571 1.485 7.641
Te 0.000 2.969 7.641
Te 2.571 1.485 2.547
O -0.929 1.630 6.564
O -1.624 2.834 8.718
O 0.929 1.630 8.718
O -0.695 4.443 6.564
O 1.876 0.010 1.470
O 0.947 1.620 3.624
O 1.624 2.834 6.564
O 0.695 4.443 8.718
O 3.266 0.010 3.624
O 1.642 2.824 1.470
O 4.196 1.620 1.470
O 3.501 2.824 3.624